No. 1
Below is an optimized crystal structure of Mn4AlPt5, with properties calculated at the PBE level.

Calculated values
As for the space group: P4/mmm. As for the crystal system: tetragonal.

a b c (Å): 3.211 3.211 14.675
angles (deg): 90.00 90.00 90.00
Positions (direct):
Al  0.000  0.000  0.000
Pt  0.500  0.500  0.500
Mn  0.000  0.000  0.802
Pt  0.500  0.500  0.298
Pt  0.500  0.500  0.904
Pt  0.500  0.500  0.702
Mn  0.000  0.000  0.399
Mn  0.000  0.000  0.601
Mn  0.000  0.000  0.198
Pt  0.500  0.500  0.096

---

No. 2
Below is an optimized crystal structure of Mn2AlPt, with properties calculated at the PBE level.

Calculated values
As for the space group: I-42d. As for the crystal system: tetragonal.

a b c (Å): 7.077 7.077 5.627
angles (deg): 51.04 51.04 90.00
Positions (direct):
Al  0.250  0.750  0.500
Mn  0.875  0.884  0.750
Mn  0.375  0.366  0.750
Pt  0.000  0.000  0.000
Mn  0.634  0.125  0.250
Pt  0.750  0.250  0.500
Al  0.500  0.500  0.000
Mn  0.116  0.625  0.250

---

No. 3
Below is an optimized crystal structure of Mn2AlPt2, with properties calculated at the PBE level.

Calculated values
As for the space group: P4/mbm. As for the crystal system: tetragonal.

a b c (Å): 6.697 6.697 3.639
angles (deg): 90.00 90.00 90.00
Positions (direct):
Pt  0.145  0.355  0.000
Al  0.500  0.500  0.000
Mn  0.658  0.842  0.500
Al  0.000  0.000  0.000
Mn  0.842  0.342  0.500
Mn  0.342  0.158  0.500
Pt  0.855  0.645  0.000
Pt  0.355  0.855  0.000
Mn  0.158  0.658  0.500
Pt  0.645  0.145  0.000

---

No. 4
Below is an optimized crystal structure of Mn4AlPt, with properties calculated at the PBE level.

Calculated values
As for the space group: F-43m. As for the crystal system: cubic.

a b c (Å): 4.727 4.727 4.727
angles (deg): 60.00 60.00 60.00
Positions (direct):
Mn  0.877  0.374  0.374
Mn  0.374  0.374  0.877
Pt  0.750  0.750  0.750
Al  0.000  0.000  0.000
Mn  0.374  0.374  0.374
Mn  0.374  0.877  0.374

---

No. 5
Below is an optimized crystal structure of ScMnAlPt, with properties calculated at the PBE level.

Calculated values
As for the space group: F-43m. As for the crystal system: cubic.

a b c (Å): 4.397 4.397 4.397
angles (deg): 60.00 60.00 60.00
Positions (direct):
Al  0.000  0.000  0.000
Mn  0.750  0.750  0.750
Pt  0.250  0.250  0.250
Sc  0.500  0.500  0.500

---

No. 6
Below is an optimized crystal structure of Sm2MnAl3Pt4, with properties calculated at the PBE level.

Calculated values
As for the space group: P-4m2. As for the crystal system: tetragonal.

a b c (Å): 4.165 4.165 10.866
angles (deg): 90.00 90.00 90.00
Positions (direct):
Pt  0.500  0.500  0.000
Sm  0.000  0.500  0.749
Al  0.000  0.500  0.130
Pt  0.500  0.000  0.641
Mn  0.500  0.500  0.500
Pt  0.000  0.500  0.359
Al  0.000  0.000  0.500
Sm  0.500  0.000  0.251
Al  0.500  0.000  0.870
Pt  0.000  0.000  0.000

---

| no. | total magnetic moment (μB per formula unit) | ΔE_f (meV per atom) |
| --- | --- | --- |
| 1 | 17.99 | -487 |
| 2 | 7.22 | 137 |
| 3 | 8.20 | -332 |
| 4 | 4.11 | -20 |
| 5 | 1.07 | -589 |
| 6 | 3.45 | -977 |